VASP calculation (PBEsol) on an optimized crystal structure of YSn3S.

## Properties
formation energy without anion corrections	-0.0105	eV/atom
theoretical density	5.8	g/cm3
crystal system	cubic
DOS at the Fermi energy	4.27	states/eV/f.u.

abc: 5.160 5.160 5.160
angles: 90.00 90.00 90.00
Atoms (fractional coordinates):
Y1 0.000 0.000 0.000
Sn1 0.000 0.500 0.500
Sn2 0.500 0.000 0.500
Sn3 0.500 0.500 0.000
S1 0.500 0.500 0.500

VASP calculation (PBEsol) on an optimized crystal structure of La5Tl.

## Properties
theoretical density	7.7	g/cm3
energy relative to the lowest polymorph listed for this composition	0	meV/atom
crystal system	monoclinic
DOS at the Fermi energy	7.72	states/eV/f.u.
ΔH_f (0 K)	-0.145	eV per atom

abc: 6.616 6.616 8.609
angles: 105.70 105.70 32.53
Atoms (fractional coordinates):
La1 0.000 0.000 0.000
La2 0.030 0.030 0.611
La3 0.304 0.304 0.698
La4 0.361 0.361 0.245
La5 0.651 0.651 0.342
Tl1 0.704 0.704 0.944

VASP calculation (PBEsol) on an optimized crystal structure of YZr3.

## Properties
theoretical density	6.3	g/cm3
energy relative to the lowest polymorph listed for this composition	35	meV/atom
crystal system	tetragonal
DOS at the Fermi energy	6.14	states/eV/f.u.
ΔH_f (0 K)	0.096	eV per atom

abc: 3.177 3.177 9.503
angles: 90.00 90.00 90.00
Atoms (fractional coordinates):
Y1 0.000 0.000 0.000
Zr1 0.000 0.000 0.500
Zr2 0.500 0.500 0.270
Zr3 0.500 0.500 0.730

VASP calculation (PBEsol) on an optimized crystal structure of Ti3Co2NiP6O24.

## Properties
formation energy without anion corrections	-2.1597	eV/atom
theoretical density	3.5	g/cm3
crystal system	trigonal
DOS at the Fermi energy	18.17	states/eV/f.u.

abc: 8.355 8.355 8.355
angles: 61.58 61.58 61.58
Atoms (fractional coordinates):
Ti1 0.000 0.000 0.000
Ti2 0.217 0.217 0.217
Ti3 0.715 0.715 0.715
Co1 0.358 0.358 0.358
Co2 0.859 0.859 0.859
Ni1 0.497 0.497 0.497
P1 0.109 0.812 0.403
P2 0.314 0.605 0.897
P3 0.403 0.109 0.812
P4 0.605 0.897 0.314
P5 0.812 0.403 0.109
P6 0.897 0.314 0.605
O1 0.027 0.870 0.245
O2 0.099 0.304 0.447
O3 0.113 0.765 0.925
O4 0.178 0.975 0.356
O5 0.245 0.027 0.870
O6 0.264 0.615 0.407
O7 0.304 0.447 0.099
O8 0.344 0.541 0.743
O9 0.356 0.178 0.975
O10 0.407 0.264 0.615
O11 0.447 0.099 0.304
O12 0.476 0.677 0.851
O13 0.541 0.743 0.344
O14 0.602 0.949 0.800
O15 0.615 0.407 0.264
O16 0.677 0.851 0.476
O17 0.743 0.344 0.541
O18 0.765 0.925 0.113
O19 0.800 0.602 0.949
O20 0.851 0.476 0.677
O21 0.870 0.245 0.027
O22 0.925 0.113 0.765
O23 0.949 0.800 0.602
O24 0.975 0.356 0.178

VASP calculation (PBEsol) on an optimized crystal structure of Ba2Hf2Mo.

## Properties
theoretical density	8.7	g/cm3
crystal system	tetragonal
DOS at the Fermi energy	5.68	states/eV/f.u.
ΔH_f (0 K)	1.463	eV per atom

abc: 8.936 8.936 8.936
angles: 153.76 153.76 37.45
Atoms (fractional coordinates):
Ba1 0.250 0.750 0.500
Ba2 0.750 0.250 0.500
Hf1 0.077 0.077 0.000
Hf2 0.923 0.923 0.000
Mo1 0.500 0.500 0.000

VASP calculation (PBEsol) on an optimized crystal structure of NaFeP2O7.

## Properties
formation energy without anion corrections	-2.0162	eV/atom
theoretical density	3.2	g/cm3
crystal system	monoclinic

abc: 4.850 8.056 7.132
angles: 90.00 107.34 90.00
Atoms (fractional coordinates):
Na1 0.211 0.000 0.240
Na2 0.789 0.500 0.760
Fe1 0.222 0.427 0.237
Fe2 0.778 0.927 0.763
P1 0.222 0.164 0.616
P2 0.388 0.731 0.991
P3 0.612 0.231 0.009
P4 0.778 0.664 0.384
O1 0.050 0.626 0.328
O2 0.158 0.269 0.430
O3 0.162 0.868 0.945
O4 0.263 0.559 0.002
O5 0.394 0.009 0.596
O6 0.411 0.233 0.137
O7 0.426 0.281 0.785
O8 0.574 0.781 0.215
O9 0.589 0.733 0.863
O10 0.606 0.509 0.404
O11 0.737 0.059 0.998
O12 0.838 0.368 0.055
O13 0.842 0.769 0.570
O14 0.950 0.126 0.672

VASP calculation (PBEsol) on an optimized crystal structure of CdAgI2N.

## Properties
formation energy without anion corrections	0.7974	eV/atom
theoretical density	5.6	g/cm3
crystal system	tetragonal
DOS at the Fermi energy	0.98	states/eV/f.u.

abc: 5.886 5.886 4.157
angles: 90.00 90.00 90.00
Atoms (fractional coordinates):
Cd1 0.000 0.000 0.000
Ag1 0.500 0.500 0.500
I1 0.000 0.500 0.000
I2 0.500 0.000 0.000
N1 0.000 0.000 0.500

VASP calculation (PBEsol) on an optimized crystal structure of TaIn2Br.

## Properties
formation energy without anion corrections	0.6206	eV/atom
theoretical density	9.5	g/cm3
energy relative to the lowest polymorph listed for this composition	557	meV/atom
crystal system	tetragonal
DOS at the Fermi energy	3.59	states/eV/f.u.

abc: 5.642 5.642 5.642
angles: 135.87 135.87 64.18
Atoms (fractional coordinates):
Ta1 0.000 0.000 0.000
In1 0.250 0.750 0.500
In2 0.500 0.500 0.000
Br1 0.750 0.250 0.500

VASP calculation (PBEsol) on an optimized crystal structure of PdPtN2O.

## Properties
formation energy without anion corrections	1.6990	eV/atom
theoretical density	10.0	g/cm3
crystal system	tetragonal
DOS at the Fermi energy	5.92	states/eV/f.u.

abc: 3.842 3.842 3.879
angles: 90.00 90.00 90.00
Atoms (fractional coordinates):
Pd1 0.000 0.000 0.000
Pt1 0.500 0.500 0.500
N1 0.000 0.500 0.000
N2 0.500 0.000 0.000
O1 0.000 0.000 0.500

VASP calculation (PBEsol) on an optimized crystal structure of Na2TaAuS.

## Properties
formation energy without anion corrections	0.9168	eV/atom
theoretical density	6.4	g/cm3
crystal system	tetragonal
DOS at the Fermi energy	6.72	states/eV/f.u.

abc: 4.879 4.879 4.932
angles: 90.00 90.00 90.00
Atoms (fractional coordinates):
Na1 0.000 0.500 0.000
Na2 0.500 0.000 0.000
Ta1 0.000 0.000 0.500
Au1 0.500 0.500 0.500
S1 0.500 0.500 0.000

VASP calculation (PBEsol) on an optimized crystal structure of KHgBiPb2.

## Properties
theoretical density	7.6	g/cm3
crystal system	tetragonal
DOS at the Fermi energy	3.26	states/eV/f.u.
ΔH_f (0 K)	0.833	eV per atom

abc: 5.871 5.871 5.480
angles: 90.00 90.00 90.00
Atoms (fractional coordinates):
K1 0.000 0.000 0.000
Hg1 0.000 0.000 0.500
Bi1 0.500 0.500 0.500
Pb1 0.000 0.500 0.000
Pb2 0.500 0.000 0.000

VASP calculation (PBEsol) on an optimized crystal structure of SrZr2Se.

## Properties
formation energy without anion corrections	-0.1809	eV/atom
theoretical density	5.8	g/cm3
crystal system	monoclinic
DOS at the Fermi energy	3.59	states/eV/f.u.

abc: 3.677 5.260 5.173
angles: 90.00 96.47 90.00
Atoms (fractional coordinates):
Sr1 0.000 0.000 0.000
Zr1 0.396 0.500 0.725
Zr2 0.604 0.500 0.275
Se1 0.500 0.000 0.500